(1)
VASP calculation (GGA-PBE) on an optimized crystal structure of CoTe2AuI.

Summary:
The density of states at the Fermi level is 6.50 states/eV/f.u. As for the space group: P4/mmm, No. 123. The value obtained for the magnetic moment is 0.9 μB per formula unit. The calculation puts the distance to the lowest polymorph of the same formula at 0.000 eV/atom. Its formation energy (no corrections) is 0.568 eV/atom.

Lattice parameters (Å, degrees): 4.9496 4.9496 5.4427 90.00 90.00 90.00
With the nearest neighbours (Å) after each atom.
Positions (direct):
1 Co 0.0000 0.0000 0.0000  4 Te 2.47, 2 I 2.72
2 Te 0.0000 0.5000 0.0000  2 Co 2.47
3 Te 0.5000 0.0000 0.0000  2 Co 2.47
4 Au 0.5000 0.5000 0.5000  4 I 3.50, 8 Te 3.68
5 I 0.0000 0.0000 0.5000  2 Co 2.72

(2)
VASP calculation (GGA-PBE) on an optimized crystal structure of Tb2CeS5.

Summary:
As for the space group: Cmcm, No. 63. The value obtained for the magnetic moment is 0.0 μB per formula unit. Its formation energy (no corrections) is -1.923 eV/atom.

Lattice parameters (Å, degrees): 7.1700 7.1700 13.2866 90.00 90.00 136.43
With the nearest neighbours (Å) after each atom.
Positions (direct):
1 Tb 0.1438 0.8562 0.5572  6 S 2.68-2.87
2 Tb 0.1438 0.8562 0.9428  6 S 2.68-2.87
3 Tb 0.8562 0.1438 0.0572  6 S 2.68-2.87
4 Tb 0.8562 0.1438 0.4428  6 S 2.68-2.87
5 Ce 0.1980 0.8020 0.2500  6 S 2.64-2.79
6 Ce 0.8020 0.1980 0.7500  6 S 2.64-2.79
7 S 0.0471 0.9529 0.1208  1 Ce 2.64, 2 Tb 2.68-2.69
8 S 0.0471 0.9529 0.3792  1 Ce 2.64, 2 Tb 2.68-2.69
9 S 0.2403 0.7597 0.7500  2 Ce 2.79, 2 Tb 2.87
10 S 0.3108 0.6892 0.0730  3 Tb 2.74-2.82, 1 Ce 2.79
11 S 0.3108 0.6892 0.4270  3 Tb 2.74-2.82, 1 Ce 2.79
12 S 0.6892 0.3108 0.5730  3 Tb 2.74-2.82, 1 Ce 2.79
13 S 0.6892 0.3108 0.9270  3 Tb 2.74-2.82, 1 Ce 2.79
14 S 0.7597 0.2403 0.2500  2 Ce 2.79, 2 Tb 2.87
15 S 0.9529 0.0471 0.6208  1 Ce 2.64, 2 Tb 2.68-2.69
16 S 0.9529 0.0471 0.8792  1 Ce 2.64, 2 Tb 2.68-2.69

(3)
VASP calculation (GGA-PBE) on an optimized crystal structure of LiYPa2N5.

Summary:
The density of states at the Fermi level is 4.82 states/eV/f.u. As for the space group: Cmc2_1, No. 36. The value obtained for the magnetic moment is 0.0 μB per formula unit. Its formation energy (no corrections) is -1.179 eV/atom.

Lattice parameters (Å, degrees): 6.6950 6.6950 10.3333 90.00 90.00 149.49
With the nearest neighbours (Å) after each atom.
Positions (direct):
1 Li 0.0128 0.9872 0.5000  4 N 1.94-2.05
2 Li 0.9872 0.0128 0.0000  4 N 1.94-2.05
3 Y 0.3497 0.6503 0.4247  6 N 2.38-2.63
4 Y 0.6503 0.3497 0.9247  6 N 2.38-2.63
5 Pa 0.3309 0.6691 0.1127  6 N 2.19-2.40
6 Pa 0.4006 0.5994 0.7489  4 N 2.19-2.33
7 Pa 0.5994 0.4006 0.2489  4 N 2.19-2.33
8 Pa 0.6691 0.3309 0.6127  6 N 2.19-2.40
9 N 0.0087 0.9913 0.8083  1 Li 2.00
10 N 0.1624 0.8376 0.0924  1 Pa 2.19
11 N 0.1701 0.8299 0.4739  1 Li 2.05, 2 Pa 2.27
12 N 0.2203 0.7797 0.7573  3 Pa 2.33-2.40
13 N 0.4991 0.5009 0.5763  2 Li 1.94
14 N 0.5009 0.4991 0.0763  2 Li 1.94
15 N 0.7797 0.2203 0.2573  3 Pa 2.33-2.40
16 N 0.8299 0.1701 0.9739  1 Li 2.05, 2 Pa 2.27
17 N 0.8376 0.1624 0.5924  1 Pa 2.19
18 N 0.9913 0.0087 0.3083  1 Li 2.00

(4)
VASP calculation (GGA-PBE) on an optimized crystal structure of Cs2NaZnCd.

Summary:
The density of states at the Fermi level is 3.47 states/eV/f.u. As for the space group: P4/mmm, No. 123. The value obtained for the magnetic moment is 0.0 μB per formula unit. The calculation puts the distance to the lowest polymorph of the same formula at 0.000 eV/atom. The energy relative to the elements comes out at 0.113 eV per atom.

Lattice parameters (Å, degrees): 7.2972 7.2972 5.2229 90.00 90.00 90.00
With the nearest neighbours (Å) after each atom.
Positions (direct):
1 Cs 0.0000 0.5000 0.0000  2 Zn 3.65
2 Cs 0.5000 0.0000 0.0000  2 Zn 3.65
3 Na 0.0000 0.0000 0.5000  8 Cs 4.49
4 Zn 0.5000 0.5000 0.0000  2 Cd 2.61
5 Cd 0.5000 0.5000 0.5000  2 Zn 2.61

(5)
VASP calculation (GGA-PBE) on an optimized crystal structure of CuRe2NiSb.

Summary:
The density of states at the Fermi level is 7.25 states/eV/f.u. As for the space group: P4/mmm, No. 123. The value obtained for the magnetic moment is 3.0 μB per formula unit. Its formation energy (no corrections) is 2.384 eV/atom.

Lattice parameters (Å, degrees): 4.8965 4.8965 4.5883 90.00 90.00 90.00
With the nearest neighbours (Å) after each atom.
Positions (direct):
1 Cu 0.0000 0.0000 0.0000  2 Sb 2.29
2 Re 0.0000 0.5000 0.5000  2 Sb 2.45
3 Re 0.5000 0.0000 0.5000  2 Sb 2.45
4 Ni 0.5000 0.5000 0.0000  8 Re 3.36, 4 Cu 3.46
5 Sb 0.0000 0.0000 0.5000  2 Cu 2.29, 4 Re 2.45

(6)
VASP calculation (GGA-PBE) on an optimized crystal structure of Na2Pm2Pb.

Summary:
The density of states at the Fermi level is 4.11 states/eV/f.u. As for the space group: I4/mmm, No. 139. The value obtained for the magnetic moment is 0.5 μB per formula unit. The energy relative to the elements comes out at 0.078 eV per atom.

Lattice parameters (Å, degrees): 10.0185 10.0185 10.0185 155.67 155.67 34.68
With the nearest neighbours (Å) after each atom.
Positions (direct):
1 Na 0.2500 0.7500 0.5000  4 Na 2.99
2 Na 0.7500 0.2500 0.5000  4 Na 2.99
3 Pm 0.0816 0.0816 0.0000  1 Pm 3.12, 4 Pb 3.37
4 Pm 0.9184 0.9184 0.0000  1 Pm 3.12, 4 Pb 3.37
5 Pb 0.5000 0.5000 0.0000  8 Pm 3.37

(7)
VASP calculation (GGA-PBE) on an optimized crystal structure of Mg2As3.

Summary:
The density of states at the Fermi level is 2.37 states/eV/f.u. As for the space group: P-3m1, No. 164. The value obtained for the magnetic moment is 0.0 μB per formula unit. The calculation puts the distance to the lowest polymorph of the same formula at 0.000 eV/atom. The energy relative to the elements comes out at -0.280 eV per atom.

Lattice parameters (Å, degrees): 4.2461 4.2461 7.1921 90.00 90.00 120.00
With the nearest neighbours (Å) after each atom.
Positions (direct):
1 Mg 0.3333 0.6667 0.3364  4 As 2.72-2.87
2 Mg 0.6667 0.3333 0.6636  4 As 2.72-2.87
3 As 0.0000 0.0000 0.5000  6 Mg 2.72
4 As 0.3333 0.6667 0.9374  3 As 2.61, 1 Mg 2.87
5 As 0.6667 0.3333 0.0626  3 As 2.61, 1 Mg 2.87

(8)
VASP calculation (GGA-PBE) on an optimized crystal structure of TlCdPO2.

Summary:
The density of states at the Fermi level is 5.47 states/eV/f.u. As for the space group: P4/mmm, No. 123. The value obtained for the magnetic moment is 1.2 μB per formula unit. The calculation puts the distance to the lowest polymorph of the same formula at 0.000 eV/atom. Its formation energy (no corrections) is 0.305 eV/atom.

Lattice parameters (Å, degrees): 4.1773 4.1773 5.3557 90.00 90.00 90.00
With the nearest neighbours (Å) after each atom.
Positions (direct):
1 Tl 0.0000 0.0000 0.0000  4 P 2.95
2 Cd 0.5000 0.5000 0.5000  4 O 2.09
3 P 0.5000 0.5000 0.0000  2 Cd 2.68, 4 Tl 2.95
4 O 0.0000 0.5000 0.5000  2 Cd 2.09
5 O 0.5000 0.0000 0.5000  2 Cd 2.09

(9)
VASP calculation (GGA-PBE) on an optimized crystal structure of DyY2ThSe4.

Summary:
The density of states at the Fermi level is 4.37 states/eV/f.u. As for the space group: P2/m, No. 10. The value obtained for the magnetic moment is 0.0 μB per formula unit. Its formation energy (no corrections) is -1.689 eV/atom.

Lattice parameters (Å, degrees): 7.1540 4.0733 7.1616 90.00 109.01 90.00
With the nearest neighbours (Å) after each atom.
Positions (direct):
1 Dy 0.0000 0.0000 0.0000  6 Se 2.90-2.91
2 Y 0.5000 0.0000 0.5000  6 Se 2.92
3 Y 0.5000 0.5000 0.0000  6 Se 2.86
4 Th 0.0000 0.5000 0.5000  6 Se 2.96
5 Se 0.2534 0.5000 0.2449  3 Y 2.86-2.92, 2 Dy 2.90, 1 Th 2.96
6 Se 0.2586 0.0000 0.7595  3 Y 2.86-2.92, 1 Dy 2.91, 2 Th 2.96
7 Se 0.7414 0.0000 0.2405  3 Y 2.86-2.92, 1 Dy 2.91, 2 Th 2.96
8 Se 0.7466 0.5000 0.7551  3 Y 2.86-2.92, 2 Dy 2.90, 1 Th 2.96

(10)
VASP calculation (GGA-PBE) on an optimized crystal structure of Ac2PmPd.

Summary:
The density of states at the Fermi level is 4.19 states/eV/f.u. As for the space group: R-3m, No. 166. The value obtained for the magnetic moment is 0.0 μB per formula unit. The calculation puts the distance to the lowest polymorph of the same formula at 0.543 eV/atom. The energy relative to the elements comes out at 0.152 eV per atom.

Lattice parameters (Å, degrees): 11.9486 11.9486 11.9486 18.21 18.21 18.21
With the nearest neighbours (Å) after each atom.
Positions (direct):
1 Ac 0.0785 0.0785 0.0785  1 Pd 2.77
2 Ac 0.9215 0.9215 0.9215  1 Pd 2.77
3 Pm 0.5000 0.5000 0.5000  6 Pm 3.78, 6 Ac 3.80
4 Pd 0.0000 0.0000 0.0000  2 Ac 2.77